No. 1
A plane-wave DFT calculation with PBE was carried out for TbH12Rh7 after structural relaxation.

Results
- DOS(E_F) (states/eV/cell) = 9.22
- volume (Å³ per atom) = 8.52
- DFT total energy (eV per cell) = -98.02
- symmetry = R-3, No. 148
- ρ (g/cm³) = 8.69
- M_tot (μB per formula unit) = 0.0

a = 5.544 Å, b = 5.544 Å, c = 5.544 Å
α = 89.99°, β = 89.99°, γ = 89.99°
Fractional coordinates of all 20 atoms:
Tb  0.000  0.000  0.000
H  0.061  0.843  0.386
H  0.157  0.614  0.939
H  0.188  0.417  0.551
H  0.386  0.061  0.843
H  0.417  0.551  0.188
H  0.449  0.812  0.583
H  0.551  0.188  0.417
H  0.583  0.449  0.812
H  0.614  0.939  0.157
H  0.812  0.583  0.449
H  0.843  0.386  0.061
H  0.939  0.157  0.614
Rh  0.072  0.530  0.248
Rh  0.248  0.072  0.530
Rh  0.470  0.752  0.928
Rh  0.500  0.500  0.500
Rh  0.530  0.248  0.072
Rh  0.752  0.928  0.470
Rh  0.928  0.470  0.752



No. 2
A plane-wave DFT calculation with PBE was carried out for YCuSnIr after structural relaxation.

Results
- DOS(E_F) (states/eV/cell) = 2.21
- E_form (eV per atom) = -0.4382
- volume (Å³ per atom) = 18.75
- DFT total energy (eV per cell) = -25.18
- symmetry = F-43m, No. 216
- ρ (g/cm³) = 10.26
- M_tot (μB per formula unit) = 0.0

a = 4.733 Å, b = 4.733 Å, c = 4.733 Å
α = 60.00°, β = 60.00°, γ = 60.00°
Fractional coordinates of all 4 atoms:
Y  0.000  0.000  0.000
Cu  0.750  0.750  0.750
Sn  0.500  0.500  0.500
Ir  0.250  0.250  0.250



No. 3
A plane-wave DFT calculation with PBE was carried out for YLu2Cu after structural relaxation.

Results
- DOS(E_F) (states/eV/cell) = 4.97
- E_form (eV per atom) = 0.0168
- volume (Å³ per atom) = 26.61
- DFT total energy (eV per cell) = -19.53
- symmetry = R-3m, No. 166
- energy relative to the lowest polymorph listed for this composition (kJ per mole of atoms) = 13.2
- ρ (g/cm³) = 7.84
- M_tot (μB per formula unit) = 0.0

a = 9.864 Å, b = 9.864 Å, c = 9.864 Å
α = 20.85°, β = 20.85°, γ = 20.85°
Fractional coordinates of all 4 atoms:
Y  0.000  0.000  0.000
Lu  0.233  0.233  0.233
Lu  0.767  0.767  0.767
Cu  0.500  0.500  0.500



No. 4
A plane-wave DFT calculation with PBE was carried out for ScReRu after structural relaxation.

Results
- DOS(E_F) (states/eV/cell) = 4.93
- E_form (eV per atom) = 1.2007
- volume (Å³ per atom) = 18.73
- DFT total energy (eV per cell) = -24.45
- symmetry = F-43m, No. 216
- energy relative to the lowest polymorph listed for this composition (kJ per mole of atoms) = 148.6
- ρ (g/cm³) = 9.82
- M_tot (μB per formula unit) = 1.9

a = 4.299 Å, b = 4.299 Å, c = 4.299 Å
α = 60.00°, β = 60.00°, γ = 60.00°
Fractional coordinates of all 3 atoms:
Sc  0.000  0.000  0.000
Re  0.250  0.250  0.250
Ru  0.750  0.750  0.750



No. 5
A plane-wave DFT calculation with PBE was carried out for BaSr2Be after structural relaxation.

Results
- DOS(E_F) (states/eV/cell) = 4.14
- E_form (eV per atom) = 0.5201
- volume (Å³ per atom) = 40.12
- DFT total energy (eV per cell) = -6.93
- symmetry = F-43m, No. 216
- ρ (g/cm³) = 3.33
- M_tot (μB per formula unit) = 0.0

a = 6.100 Å, b = 6.100 Å, c = 6.100 Å
α = 60.00°, β = 60.00°, γ = 60.00°
Fractional coordinates of all 4 atoms:
Ba  0.000  0.000  0.000
Sr  0.250  0.250  0.250
Sr  0.500  0.500  0.500
Be  0.750  0.750  0.750



No. 6
A plane-wave DFT calculation with PBE was carried out for MnTl2Hg after structural relaxation.

Results
- DOS(E_F) (states/eV/cell) = 2.96
- E_form (eV per atom) = 0.4074
- volume (Å³ per atom) = 24.94
- DFT total energy (eV per cell) = -12.57
- symmetry = F-43m, No. 216
- energy relative to the lowest polymorph listed for this composition (kJ per mole of atoms) = 13.9
- ρ (g/cm³) = 11.06
- M_tot (μB per formula unit) = 4.2

a = 5.206 Å, b = 5.206 Å, c = 5.206 Å
α = 60.00°, β = 60.00°, γ = 60.00°
Fractional coordinates of all 4 atoms:
Mn  0.000  0.000  0.000
Tl  0.250  0.250  0.250
Tl  0.500  0.500  0.500
Hg  0.750  0.750  0.750